# Pr2ErCoO6

A relaxed structure of Pr2ErCoO6 (PBE with a Hubbard U, Alexandria).

Unit cell a=5.602 b=5.772 c=9.713 alpha=90.00 beta=124.25 gamma=90.00
Atoms (fractional coordinates):
Pr  0.233  0.053  0.249
Pr  0.233  0.447  0.749
Pr  0.767  0.553  0.251
Pr  0.767  0.947  0.751
Er  0.500  0.000  0.000
Er  0.500  0.500  0.500
Co  0.000  0.000  0.500
Co  0.000  0.500  0.000
O  0.134  0.220  0.946
O  0.134  0.280  0.446
O  0.228  0.693  0.949
O  0.228  0.807  0.449
O  0.332  0.031  0.734
O  0.332  0.469  0.234
O  0.668  0.531  0.766
O  0.668  0.969  0.266
O  0.772  0.193  0.551
O  0.772  0.307  0.051
O  0.866  0.720  0.554
O  0.866  0.780  0.054

Summary:
density of states at the Fermi level	0.00	states/eV/cell
magnetization	0.080	μB per formula unit
E	-7.656	eV per atom